# Ba2NaCr PBE-GGA optimized geometry
# space-group type	Fm-3m
# V	169.5	Å³/cell
# M_tot	5.32	Bohr magnetons per cell
# final energy	-3.260	eV per atom
data_Ba2NaCr
_space_group_name_H-M_alt 'P 1'
_space_group_IT_number 1
_cell_length_a 6.212
_cell_length_b 6.212
_cell_length_c 6.212
_cell_angle_alpha 60.00
_cell_angle_beta 60.00
_cell_angle_gamma 60.00
loop_
_space_group_symop_operation_xyz
'x,y,z'
loop_
_atom_site_label
_atom_site_fract_x
_atom_site_fract_y
_atom_site_fract_z
Na1 0.000 0.000 0.000
Cr1 0.500 0.500 0.500
Ba1 0.250 0.250 0.250
Ba2 0.750 0.750 0.750